Record 1
! Ca3Sm4ErSe8, optimized geometry, DFT PBE; values from VASP
! Formation energy from raw total energies, eV per formula unit: -29.78
&SYSTEM
  ibrav = 0, nat = 16, ntyp = 4
/
ATOMIC_SPECIES
Ca 40.08 Ca.upf
Sm 150.36 Sm.upf
Er 167.26 Er.upf
Se 78.96 Se.upf
CELL_PARAMETERS angstrom
4.137 2.389 6.870
-4.137 2.389 6.870
0.000 -4.777 6.870
ATOMIC_POSITIONS crystal
Ca 0.000 0.500 0.500
Ca 0.500 0.000 0.500
Ca 0.500 0.500 0.000
Sm 0.000 0.000 0.500
Sm 0.000 0.500 0.000
Sm 0.500 0.000 0.000
Sm 0.500 0.500 0.500
Er 0.000 0.000 0.000
Se 0.246 0.246 0.751
Se 0.246 0.751 0.246
Se 0.249 0.754 0.754
Se 0.251 0.251 0.251
Se 0.749 0.749 0.749
Se 0.751 0.246 0.246
Se 0.754 0.249 0.754
Se 0.754 0.754 0.249

---

Record 2
! Ca3SmEr2Se6, optimized geometry, DFT PBE; values from VASP
! Formation energy from raw total energies, eV per formula unit: -22.39
&SYSTEM
  ibrav = 0, nat = 12, ntyp = 4
/
ATOMIC_SPECIES
Ca 40.08 Ca.upf
Sm 150.36 Sm.upf
Er 167.26 Er.upf
Se 78.96 Se.upf
CELL_PARAMETERS angstrom
3.564 -6.166 0.000
3.564 6.166 0.000
-2.382 0.000 6.830
ATOMIC_POSITIONS crystal
Ca 0.000 0.000 0.000
Ca 0.336 0.664 0.000
Ca 0.664 0.336 0.000
Sm 0.500 0.500 0.500
Er 0.167 0.833 0.500
Er 0.833 0.167 0.500
Se 0.077 0.418 0.254
Se 0.241 0.241 0.745
Se 0.418 0.077 0.254
Se 0.582 0.923 0.746
Se 0.759 0.759 0.255
Se 0.923 0.582 0.746

---

Record 3
! Ca4SmEr3Se8, optimized geometry, DFT PBE; values from VASP
! Formation energy from raw total energies, eV per formula unit: -29.78
&SYSTEM
  ibrav = 0, nat = 16, ntyp = 4
/
ATOMIC_SPECIES
Ca 40.08 Ca.upf
Sm 150.36 Sm.upf
Er 167.26 Er.upf
Se 78.96 Se.upf
CELL_PARAMETERS angstrom
4.105 2.370 6.828
-4.105 2.370 6.828
0.000 -4.740 6.828
ATOMIC_POSITIONS crystal
Ca 0.000 0.000 0.000
Ca 0.000 0.500 0.500
Ca 0.500 0.000 0.500
Ca 0.500 0.500 0.000
Sm 0.500 0.500 0.500
Er 0.000 0.000 0.500
Er 0.000 0.500 0.000
Er 0.500 0.000 0.000
Se 0.243 0.752 0.752
Se 0.247 0.247 0.247
Se 0.248 0.248 0.757
Se 0.248 0.757 0.248
Se 0.752 0.243 0.752
Se 0.752 0.752 0.243
Se 0.753 0.753 0.753
Se 0.757 0.248 0.248

---

Record 4
! CaSm3Er2Se6, optimized geometry, DFT PBE; values from VASP
! Formation energy from raw total energies, eV per formula unit: -21.65
&SYSTEM
  ibrav = 0, nat = 12, ntyp = 4
/
ATOMIC_SPECIES
Ca 40.08 Ca.upf
Sm 150.36 Sm.upf
Er 167.26 Er.upf
Se 78.96 Se.upf
CELL_PARAMETERS angstrom
3.545 -6.144 0.000
3.545 6.144 0.000
-2.352 0.000 6.846
ATOMIC_POSITIONS crystal
Ca 0.000 0.000 0.000
Sm 0.163 0.837 0.500
Sm 0.500 0.500 0.500
Sm 0.837 0.163 0.500
Er 0.333 0.667 0.000
Er 0.667 0.333 0.000
Se 0.080 0.417 0.241
Se 0.258 0.258 0.765
Se 0.417 0.080 0.241
Se 0.583 0.920 0.759
Se 0.742 0.742 0.235
Se 0.920 0.583 0.759

---

Record 5
! CaSm2ErSe4, optimized geometry, DFT PBE; values from VASP
! Formation energy from raw total energies, eV per formula unit: -14.61
&SYSTEM
  ibrav = 0, nat = 8, ntyp = 4
/
ATOMIC_SPECIES
Ca 40.08 Ca.upf
Sm 150.36 Sm.upf
Er 167.26 Er.upf
Se 78.96 Se.upf
CELL_PARAMETERS angstrom
7.143 0.000 0.000
0.000 4.111 0.000
-2.352 0.000 6.832
ATOMIC_POSITIONS crystal
Ca 0.000 0.000 0.000
Sm 0.000 0.500 0.500
Sm 0.500 0.000 0.500
Er 0.500 0.500 0.000
Se 0.251 0.500 0.242
Se 0.256 0.000 0.761
Se 0.744 0.000 0.239
Se 0.749 0.500 0.758

---

Record 6
! CaSm2Er3Se6, optimized geometry, DFT PBE; values from VASP
! Formation energy from raw total energies, eV per formula unit: -21.54
&SYSTEM
  ibrav = 0, nat = 12, ntyp = 4
/
ATOMIC_SPECIES
Ca 40.08 Ca.upf
Sm 150.36 Sm.upf
Er 167.26 Er.upf
Se 78.96 Se.upf
CELL_PARAMETERS angstrom
8.973 -2.041 0.000
8.973 2.041 0.000
-1.961 0.000 8.038
ATOMIC_POSITIONS crystal
Ca 0.000 0.000 0.000
Sm 0.328 0.328 0.657
Sm 0.672 0.672 0.343
Er 0.000 0.000 0.500
Er 0.331 0.331 0.171
Er 0.669 0.669 0.829
Se 0.161 0.161 0.590
Se 0.167 0.167 0.075
Se 0.498 0.498 0.253
Se 0.502 0.502 0.747
Se 0.833 0.833 0.925
Se 0.839 0.839 0.410

---

Record 7
! CaSmEr2Se4, optimized geometry, DFT PBE; values from VASP
! Formation energy from raw total energies, eV per formula unit: -14.40
&SYSTEM
  ibrav = 0, nat = 8, ntyp = 4
/
ATOMIC_SPECIES
Ca 40.08 Ca.upf
Sm 150.36 Sm.upf
Er 167.26 Er.upf
Se 78.96 Se.upf
CELL_PARAMETERS angstrom
7.112 0.000 0.000
0.000 4.085 0.000
-2.335 0.000 6.742
ATOMIC_POSITIONS crystal
Ca 0.000 0.000 0.000
Sm 0.000 0.500 0.500
Er 0.500 0.000 0.500
Er 0.500 0.500 0.000
Se 0.259 0.500 0.251
Se 0.260 0.000 0.757
Se 0.740 0.000 0.243
Se 0.741 0.500 0.749

---

Record 8
! CaSmEr4Se8, optimized geometry, DFT PBE; values from VASP
! Formation energy from raw total energies, eV per formula unit: -25.01
&SYSTEM
  ibrav = 0, nat = 14, ntyp = 4
/
ATOMIC_SPECIES
Ca 40.08 Ca.upf
Sm 150.36 Sm.upf
Er 167.26 Er.upf
Se 78.96 Se.upf
CELL_PARAMETERS angstrom
4.205 2.428 6.929
-4.205 2.428 6.929
0.000 -4.856 6.929
ATOMIC_POSITIONS crystal
Ca 0.000 0.000 0.000
Sm 0.372 0.372 0.372
Er 0.372 0.372 0.880
Er 0.372 0.880 0.372
Er 0.748 0.748 0.748
Er 0.880 0.372 0.372
Se 0.129 0.129 0.595
Se 0.129 0.595 0.129
Se 0.135 0.135 0.135
Se 0.144 0.621 0.621
Se 0.595 0.129 0.129
Se 0.616 0.616 0.616
Se 0.621 0.144 0.621
Se 0.621 0.621 0.144

---

Record 9
! Ca4Sm3ErSe8, optimized geometry, DFT PBE; values from VASP
! Formation energy from raw total energies, eV per formula unit: -30.17
&SYSTEM
  ibrav = 0, nat = 16, ntyp = 4
/
ATOMIC_SPECIES
Ca 40.08 Ca.upf
Sm 150.36 Sm.upf
Er 167.26 Er.upf
Se 78.96 Se.upf
CELL_PARAMETERS angstrom
4.139 2.389 6.899
-4.139 2.389 6.899
0.000 -4.779 6.899
ATOMIC_POSITIONS crystal
Ca 0.000 0.000 0.000
Ca 0.000 0.500 0.500
Ca 0.500 0.000 0.500
Ca 0.500 0.500 0.000
Sm 0.000 0.000 0.500
Sm 0.000 0.500 0.000
Sm 0.500 0.000 0.000
Er 0.500 0.500 0.500
Se 0.251 0.251 0.251
Se 0.253 0.253 0.744
Se 0.253 0.744 0.253
Se 0.256 0.747 0.747
Se 0.744 0.253 0.253
Se 0.747 0.256 0.747
Se 0.747 0.747 0.256
Se 0.749 0.749 0.749

---

Record 10
! SrCaEr4Se8, optimized geometry, DFT PBE; values from VASP
! Formation energy from raw total energies, eV per formula unit: -25.61
&SYSTEM
  ibrav = 0, nat = 14, ntyp = 4
/
ATOMIC_SPECIES
Sr 87.62 Sr.upf
Ca 40.08 Ca.upf
Er 167.26 Er.upf
Se 78.96 Se.upf
CELL_PARAMETERS angstrom
4.244 2.450 7.022
-4.244 2.450 7.022
0.000 -4.900 7.022
ATOMIC_POSITIONS crystal
Sr 0.000 0.000 0.000
Ca 0.626 0.626 0.626
Er 0.116 0.627 0.627
Er 0.247 0.247 0.247
Er 0.627 0.116 0.627
Er 0.627 0.627 0.116
Se 0.376 0.376 0.854
Se 0.376 0.854 0.376
Se 0.381 0.381 0.381
Se 0.417 0.866 0.866
Se 0.854 0.376 0.376
Se 0.861 0.861 0.861
Se 0.866 0.417 0.866
Se 0.866 0.866 0.417

---

Record 11
! Sr2CaErSe4, optimized geometry, DFT PBE; values from VASP
! Formation energy from raw total energies, eV per formula unit: -15.56
&SYSTEM
  ibrav = 0, nat = 8, ntyp = 4
/
ATOMIC_SPECIES
Sr 87.62 Sr.upf
Ca 40.08 Ca.upf
Er 167.26 Er.upf
Se 78.96 Se.upf
CELL_PARAMETERS angstrom
7.379 0.000 0.000
0.000 4.249 0.000
-2.446 0.000 7.021
ATOMIC_POSITIONS crystal
Sr 0.000 0.000 0.000
Sr 0.500 0.500 0.000
Ca 0.000 0.500 0.500
Er 0.500 0.000 0.500
Se 0.250 0.000 0.731
Se 0.263 0.500 0.272
Se 0.737 0.500 0.728
Se 0.750 0.000 0.269

---

Record 12
! SrCaEr2Se4, optimized geometry, DFT PBE; values from VASP
! Formation energy from raw total energies, eV per formula unit: -14.77
&SYSTEM
  ibrav = 0, nat = 8, ntyp = 4
/
ATOMIC_SPECIES
Sr 87.62 Sr.upf
Ca 40.08 Ca.upf
Er 167.26 Er.upf
Se 78.96 Se.upf
CELL_PARAMETERS angstrom
7.163 0.000 0.000
0.000 4.138 0.000
-2.392 0.000 6.913
ATOMIC_POSITIONS crystal
Sr 0.000 0.000 0.000
Ca 0.500 0.500 0.000
Er 0.000 0.500 0.500
Er 0.500 0.000 0.500
Se 0.251 0.000 0.737
Se 0.261 0.500 0.268
Se 0.739 0.500 0.732
Se 0.749 0.000 0.263

---

Record 13
! CaTb4ErSe8, optimized geometry, DFT PBE; values from VASP
! Formation energy from raw total energies, eV per formula unit: -25.21
&SYSTEM
  ibrav = 0, nat = 14, ntyp = 4
/
ATOMIC_SPECIES
Ca 40.08 Ca.upf
Tb 158.93 Tb.upf
Er 167.26 Er.upf
Se 78.96 Se.upf
CELL_PARAMETERS angstrom
4.239 2.447 6.902
-4.239 2.447 6.902
0.000 -4.894 6.902
ATOMIC_POSITIONS crystal
Ca 0.000 0.000 0.000
Tb 0.119 0.627 0.627
Tb 0.249 0.249 0.249
Tb 0.627 0.119 0.627
Tb 0.627 0.627 0.119
Er 0.627 0.627 0.627
Se 0.382 0.382 0.382
Se 0.385 0.385 0.850
Se 0.385 0.850 0.385
Se 0.404 0.863 0.863
Se 0.850 0.385 0.385
Se 0.863 0.404 0.863
Se 0.863 0.863 0.404
Se 0.865 0.865 0.865

---

Record 14
! CaTbEr4Se8, optimized geometry, DFT PBE; values from VASP
! Formation energy from raw total energies, eV per formula unit: -25.04
&SYSTEM
  ibrav = 0, nat = 14, ntyp = 4
/
ATOMIC_SPECIES
Ca 40.08 Ca.upf
Tb 158.93 Tb.upf
Er 167.26 Er.upf
Se 78.96 Se.upf
CELL_PARAMETERS angstrom
4.201 2.425 6.886
-4.201 2.425 6.886
0.000 -4.850 6.886
ATOMIC_POSITIONS crystal
Ca 0.000 0.000 0.000
Tb 0.372 0.372 0.372
Er 0.372 0.372 0.881
Er 0.372 0.881 0.372
Er 0.749 0.749 0.749
Er 0.881 0.372 0.372
Se 0.132 0.132 0.594
Se 0.132 0.594 0.132
Se 0.135 0.135 0.135
Se 0.147 0.619 0.619
Se 0.594 0.132 0.132
Se 0.616 0.616 0.616
Se 0.619 0.147 0.619
Se 0.619 0.619 0.147

---

Record 15
! CaTb3Er3Se8, optimized geometry, DFT PBE; values from VASP
! Formation energy from raw total energies, eV per formula unit: -27.69
&SYSTEM
  ibrav = 0, nat = 15, ntyp = 4
/
ATOMIC_SPECIES
Ca 40.08 Ca.upf
Tb 158.93 Tb.upf
Er 167.26 Er.upf
Se 78.96 Se.upf
CELL_PARAMETERS angstrom
4.060 2.344 6.648
-4.060 2.344 6.648
0.000 -4.688 6.648
ATOMIC_POSITIONS crystal
Ca 0.000 0.000 0.000
Tb 0.000 0.000 0.500
Tb 0.000 0.500 0.000
Tb 0.500 0.000 0.000
Er 0.000 0.500 0.500
Er 0.500 0.000 0.500
Er 0.500 0.500 0.000
Se 0.252 0.252 0.252
Se 0.255 0.255 0.742
Se 0.255 0.742 0.255
Se 0.258 0.745 0.745
Se 0.742 0.255 0.255
Se 0.745 0.258 0.745
Se 0.745 0.745 0.258
Se 0.748 0.748 0.748

---

Record 16
! Ca4Tb3ErSe8, optimized geometry, DFT PBE; values from VASP
! Formation energy from raw total energies, eV per formula unit: -30.02
&SYSTEM
  ibrav = 0, nat = 16, ntyp = 4
/
ATOMIC_SPECIES
Ca 40.08 Ca.upf
Tb 158.93 Tb.upf
Er 167.26 Er.upf
Se 78.96 Se.upf
CELL_PARAMETERS angstrom
4.108 2.372 6.841
-4.108 2.372 6.841
0.000 -4.744 6.841
ATOMIC_POSITIONS crystal
Ca 0.000 0.000 0.000
Ca 0.000 0.500 0.500
Ca 0.500 0.000 0.500
Ca 0.500 0.500 0.000
Tb 0.000 0.000 0.500
Tb 0.000 0.500 0.000
Tb 0.500 0.000 0.000
Er 0.500 0.500 0.500
Se 0.249 0.249 0.249
Se 0.251 0.747 0.747
Se 0.253 0.253 0.749
Se 0.253 0.749 0.253
Se 0.747 0.251 0.747
Se 0.747 0.747 0.251
Se 0.749 0.253 0.253
Se 0.751 0.751 0.751

---

Record 17
! CaTb4Er3Se8, optimized geometry, DFT PBE; values from VASP
! Formation energy from raw total energies, eV per formula unit: -28.23
&SYSTEM
  ibrav = 0, nat = 16, ntyp = 4
/
ATOMIC_SPECIES
Ca 40.08 Ca.upf
Tb 158.93 Tb.upf
Er 167.26 Er.upf
Se 78.96 Se.upf
CELL_PARAMETERS angstrom
4.075 2.352 6.693
-4.075 2.352 6.693
0.000 -4.705 6.693
ATOMIC_POSITIONS crystal
Ca 0.000 0.000 0.000
Tb 0.000 0.000 0.500
Tb 0.000 0.500 0.000
Tb 0.500 0.000 0.000
Tb 0.500 0.500 0.500
Er 0.000 0.500 0.500
Er 0.500 0.000 0.500
Er 0.500 0.500 0.000
Se 0.250 0.250 0.747
Se 0.250 0.747 0.250
Se 0.252 0.252 0.252
Se 0.253 0.750 0.750
Se 0.747 0.250 0.250
Se 0.748 0.748 0.748
Se 0.750 0.253 0.750
Se 0.750 0.750 0.253

---

Record 18
! Ca2ErThSe4, optimized geometry, DFT PBE; values from VASP
! Formation energy from raw total energies, eV per formula unit: -14.06
&SYSTEM
  ibrav = 0, nat = 8, ntyp = 4
/
ATOMIC_SPECIES
Ca 40.08 Ca.upf
Er 167.26 Er.upf
Th 232.04 Th.upf
Se 78.96 Se.upf
CELL_PARAMETERS angstrom
7.132 0.000 0.000
0.000 4.090 0.000
-2.341 0.000 6.967
ATOMIC_POSITIONS crystal
Ca 0.000 0.000 0.000
Ca 0.500 0.500 0.000
Er 0.000 0.500 0.500
Th 0.500 0.000 0.500
Se 0.240 0.500 0.245
Se 0.241 0.000 0.747
Se 0.759 0.000 0.253
Se 0.760 0.500 0.755

---

Record 19
! CaEr2ThSe4, optimized geometry, DFT PBE; values from VASP
! Formation energy from raw total energies, eV per formula unit: -13.61
&SYSTEM
  ibrav = 0, nat = 8, ntyp = 4
/
ATOMIC_SPECIES
Ca 40.08 Ca.upf
Er 167.26 Er.upf
Th 232.04 Th.upf
Se 78.96 Se.upf
CELL_PARAMETERS angstrom
7.071 0.000 0.000
0.000 4.062 0.000
-2.336 0.000 6.867
ATOMIC_POSITIONS crystal
Ca 0.000 0.000 0.000
Er 0.500 0.000 0.500
Er 0.500 0.500 0.000
Th 0.000 0.500 0.500
Se 0.260 0.500 0.249
Se 0.263 0.000 0.760
Se 0.737 0.000 0.240
Se 0.740 0.500 0.751

---

Record 20
! CaEr2TmSe4, optimized geometry, DFT PBE; values from VASP
! Formation energy from raw total energies, eV per formula unit: -14.06
&SYSTEM
  ibrav = 0, nat = 8, ntyp = 4
/
ATOMIC_SPECIES
Ca 40.08 Ca.upf
Er 167.26 Er.upf
Tm 168.93 Tm.upf
Se 78.96 Se.upf
CELL_PARAMETERS angstrom
7.037 0.000 0.000
0.000 4.049 0.000
-2.314 0.000 6.655
ATOMIC_POSITIONS crystal
Ca 0.000 0.000 0.000
Er 0.000 0.500 0.500
Er 0.500 0.000 0.500
Tm 0.500 0.500 0.000
Se 0.253 0.000 0.750
Se 0.254 0.500 0.253
Se 0.746 0.500 0.747
Se 0.747 0.000 0.250